a:
Here is a relaxed SrLa2Ho crystal from Alexandria. Energies are from PBE.

Structure (extended XYZ):
```
4
Lattice="3.770 0.000 0.000 1.885 3.265 0.000 1.885 1.088 12.556" Properties=species:S:1:pos:R:3 pbc="T T T"
La 1.885 1.088 2.858
La 1.885 1.088 9.688
Sr 3.770 2.177 6.289
Ho 5.655 3.265 12.556
```

Values from the calculation:
The calculation puts the total moment at 0.00 μB/f.u.

b:
Here is a relaxed SrLa2Ho crystal from Alexandria. Energies are from PBE.

Structure (extended XYZ):
```
4
Lattice="-1.655 -0.373 -3.290 1.933 -1.206 -2.918 -3.114 -12.977 0.954" Properties=species:S:1:pos:R:3 pbc="T T T"
La -2.215 -9.485 0.106
La -0.622 -5.071 -5.360
Ho -1.418 -7.278 -2.627
Sr 0.000 0.000 0.000
```

Values from the calculation:
The calculation puts the total moment at 0.00 μB/f.u.

c:
Here is a relaxed SrLa2Ho crystal from Alexandria. Energies are from PBE.

Structure (extended XYZ):
```
4
Lattice="-2.045 -3.438 -4.508 3.624 -1.393 -4.611 2.023 -5.641 -0.646" Properties=species:S:1:pos:R:3 pbc="T T T"
Sr 1.801 -5.236 -4.882
La 2.701 -7.853 -7.323
La 0.900 -2.618 -2.441
Ho 0.000 0.000 0.000
```

Values from the calculation:
The calculation puts the total moment at 0.00 μB/f.u.

d:
Here is a relaxed SrLa2Ho crystal from Alexandria. Energies are from PBE.

Structure (extended XYZ):
```
4
Lattice="4.206 0.000 0.000 0.000 4.206 0.000 0.000 0.000 9.095" Properties=species:S:1:pos:R:3 pbc="T T T"
La 0.000 0.000 7.223
La 0.000 0.000 1.872
Sr 2.103 2.103 4.547
Ho 2.103 2.103 0.000
```

Values from the calculation:
The calculation puts the total moment at 0.00 μB/f.u.

Quick one: most stable of them? a

a:
Here is a relaxed La4Tb3Ho crystal from Alexandria. Energies are from PBE.

Structure (extended XYZ):
```
16
Lattice="6.398 0.000 0.000 0.000 7.360 0.000 0.000 0.000 11.736" Properties=species:S:1:pos:R:3 pbc="T T T"
Tb 3.064 2.789 2.935
Tb 6.263 4.571 8.804
Tb 0.957 2.785 5.868
Tb 6.263 4.571 2.933
Tb 3.064 2.789 8.801
Tb 4.156 4.575 0.000
Ho 4.154 4.559 5.868
Ho 0.955 2.801 0.000
La 0.955 6.426 5.868
La 6.258 0.941 2.917
La 4.179 0.926 5.868
La 6.258 0.941 8.819
La 0.980 6.433 0.000
La 3.059 6.419 8.785
La 3.059 6.419 2.951
La 4.154 0.934 0.000
```

Values from the calculation:
The calculation puts the total moment at 0.00 μB/f.u.

b:
Here is a relaxed La4Tb3Ho crystal from Alexandria. Energies are from PBE.

Structure (extended XYZ):
```
8
Lattice="-0.411 -1.453 -3.124 -5.471 -2.535 1.898 -5.433 11.205 -2.568" Properties=species:S:1:pos:R:3 pbc="T T T"
Tb -2.735 -1.267 0.949
Tb -5.671 1.044 0.261
Tb -5.644 6.174 -4.055
La -8.801 5.607 -3.376
La -2.514 1.610 -0.418
La -7.273 3.950 -0.880
La -4.042 3.268 -2.915
Ho -0.206 -0.726 -1.562
```

Values from the calculation:
The calculation puts the total moment at 0.00 μB/f.u.

Quick one: most stable of them? a

a:
Here is a relaxed La7Tb3Ho crystal from Alexandria. Energies are from PBE.

Structure (extended XYZ):
```
11
Lattice="-1.464 -1.063 -5.746 -6.191 -2.998 5.285 -2.979 7.762 2.475" Properties=species:S:1:pos:R:3 pbc="T T T"
La -2.327 4.240 -0.193
La -6.452 5.675 0.584
La -4.182 -1.974 1.430
La -2.242 0.780 0.423
La -4.585 2.382 3.880
La -8.393 2.921 1.590
La -8.308 -0.540 2.207
Tb -0.732 -0.532 -2.873
Tb -5.533 -0.791 4.709
Tb -3.638 5.556 3.051
Ho -5.317 1.850 1.007
```

Values from the calculation:
The calculation puts the total moment at 0.00 μB/f.u.

b:
Here is a relaxed La7Tb3Ho crystal from Alexandria. Energies are from PBE.

Structure (extended XYZ):
```
22
Lattice="2.479 -5.524 -8.617 -2.715 -1.339 9.770 -12.811 2.571 3.193" Properties=species:S:1:pos:R:3 pbc="T T T"
La -1.217 -4.843 3.658
La -11.794 0.444 0.571
La -5.388 -0.843 -1.024
La -4.093 -4.249 0.728
La -7.621 -3.558 5.256
La -2.804 -0.867 1.227
La -9.211 0.420 2.824
La -10.499 -2.967 2.320
La -13.207 1.101 7.105
La -7.143 -3.611 -2.405
La -10.465 0.529 9.141
La -4.063 -0.754 7.548
La -6.804 -0.183 5.512
La -0.737 -4.897 -4.003
Tb -4.110 -2.829 4.432
Tb -3.229 -4.382 -6.513
Tb -10.513 -1.546 6.027
Tb -2.462 -2.713 -1.977
Tb -8.869 -1.427 -0.381
Tb -9.634 -3.096 -4.918
Ho -6.673 -2.162 2.251
Ho -0.263 -3.447 0.654
```

Values from the calculation:
The calculation puts the total moment at 0.00 μB/f.u.

Quick one: most stable of them? b

a:
Here is a relaxed La3Tb2Ho3 crystal from Alexandria. Energies are from PBE.

Structure (extended XYZ):
```
8
Lattice="5.048 0.000 0.000 0.000 5.152 0.000 -2.524 -2.576 10.317" Properties=species:S:1:pos:R:3 pbc="T T T"
La 2.524 0.000 0.000
La 0.000 0.000 7.754
La 2.524 2.576 2.562
Ho 2.524 2.576 7.682
Ho 0.000 0.000 2.634
Ho 0.000 2.576 0.000
Tb 0.000 2.576 5.186
Tb 2.524 0.000 5.130
```

Values from the calculation:
The calculation puts the total moment at 0.00 μB/f.u.

b:
Here is a relaxed La3Tb2Ho3 crystal from Alexandria. Energies are from PBE.

Structure (extended XYZ):
```
8
Lattice="5.683 0.000 -1.069 -0.373 5.721 -1.981 -1.296 -0.373 8.749" Properties=species:S:1:pos:R:3 pbc="T T T"
Ho 0.000 0.000 0.000
Ho 3.858 1.527 4.866
Ho 0.157 3.821 0.833
Tb 0.651 1.634 3.460
Tb 3.364 3.714 2.239
La 0.781 5.030 4.150
La 2.655 2.860 -1.525
La 3.234 0.318 1.549
```

Values from the calculation:
The calculation puts the total moment at 0.00 μB/f.u.

Quick one: most stable of them? a

a:
Here is a relaxed LaTb5Ho crystal from Alexandria. Energies are from PBE.

Structure (extended XYZ):
```
7
Lattice="5.799 0.000 0.000 2.899 7.337 0.478 2.899 1.783 7.133" Properties=species:S:1:pos:R:3 pbc="T T T"
Tb 5.799 2.782 5.936
Tb 5.799 6.820 5.692
Tb 5.799 2.299 1.919
Tb 5.799 6.337 1.676
Tb 2.899 4.560 3.806
Ho 5.799 4.560 3.806
La 0.000 0.000 0.000
```

Values from the calculation:
The calculation puts the total moment at 0.00 μB/f.u.

b:
Here is a relaxed LaTb5Ho crystal from Alexandria. Energies are from PBE.

Structure (extended XYZ):
```
14
Lattice="-3.817 0.531 -5.620 1.357 -3.913 -5.411 -8.637 -10.193 -2.897" Properties=species:S:1:pos:R:3 pbc="T T T"
Tb -10.404 -12.356 -10.296
Tb -5.165 -2.714 -6.312
Tb -6.568 -9.154 -5.222
Tb -4.529 -4.421 -8.707
Tb -5.847 -7.465 -8.838
Tb -0.693 -1.219 -3.633
Tb -7.602 -10.588 -10.105
Tb -5.250 -6.111 -5.091
Tb -3.495 -2.988 -3.824
Tb -5.932 -10.861 -7.617
Ho 0.000 0.000 0.000
Ho -4.319 -5.096 -1.448
La -8.849 -8.356 -7.734
La -2.249 -5.219 -6.194
```

Values from the calculation:
The calculation puts the total moment at 0.00 μB/f.u.

Quick one: most stable of them? b

a:
Here is a relaxed La7Tb12Ho crystal from Alexandria. Energies are from PBE.

Structure (extended XYZ):
```
20
Lattice="8.557 1.293 1.941 -1.137 8.579 1.941 -1.137 -1.513 8.665" Properties=species:S:1:pos:R:3 pbc="T T T"
Tb -0.110 3.510 6.576
Tb 4.966 7.912 5.241
Tb 0.064 6.207 4.096
Tb 6.219 2.152 8.451
Tb 2.881 2.626 9.211
Tb 5.944 3.092 3.227
Tb 1.721 7.153 6.775
Tb 1.317 0.448 7.306
Tb 3.402 5.733 3.336
Tb 4.561 1.206 5.772
Tb 0.338 5.268 9.320
Tb 6.393 4.849 5.971
La 0.830 3.476 1.823
La 3.175 7.357 10.217
La 3.108 1.003 2.330
La 5.452 4.884 10.724
La 3.141 4.180 6.273
La 0.099 0.893 3.910
La 6.184 7.466 8.637
Ho 0.000 0.000 0.000
```

Values from the calculation:
The calculation puts the total moment at 0.00 μB/f.u.

b:
Here is a relaxed La7Tb12Ho crystal from Alexandria. Energies are from PBE.

Structure (extended XYZ):
```
20
Lattice="-7.950 -3.931 4.335 0.664 -3.310 -9.276 8.100 -2.596 5.008" Properties=species:S:1:pos:R:3 pbc="T T T"
Tb 4.817 -6.233 -4.432
Tb 2.191 -3.058 1.250
Tb -1.453 -3.464 -5.928
Tb 2.268 -6.373 5.995
Tb -1.755 -3.386 1.081
Tb -1.376 -6.779 -1.183
Tb 0.366 -3.233 -2.264
Tb 2.570 -6.451 -1.014
Tb 6.271 -2.774 1.496
Tb 0.449 -6.604 2.332
Tb -5.456 -7.063 -1.429
Tb -4.002 -3.604 4.499
La -3.975 -1.965 2.167
La 4.050 -1.298 2.504
La 0.407 -4.918 0.034
La 4.382 -2.953 -2.134
La 0.075 -3.264 4.671
La 0.332 -1.655 -4.638
La -3.643 -3.620 -2.471
Ho 0.000 0.000 0.000
```

Values from the calculation:
The calculation puts the total moment at 0.00 μB/f.u.

Quick one: most stable of them? a

a:
Here is a relaxed LaTb4Ho7 crystal from Alexandria. Energies are from PBE.

Structure (extended XYZ):
```
12
Lattice="-3.984 -5.582 -2.099 4.666 -1.983 -3.591 0.635 -10.889 3.246" Properties=species:S:1:pos:R:3 pbc="T T T"
Ho -0.071 -10.196 -3.423
Ho 2.715 -10.649 -1.338
Ho 1.970 -13.283 0.922
Ho 1.388 -8.258 0.979
Ho -1.398 -7.805 -1.106
Ho -0.653 -5.170 -3.365
Ho -1.992 -2.791 -1.050
Tb 1.932 -7.395 -2.366
Tb -0.615 -11.059 -0.077
Tb 0.581 -5.004 -0.059
Tb 0.736 -13.449 -2.385
La 0.000 0.000 0.000
```

Values from the calculation:
The calculation puts the total moment at 0.00 μB/f.u.

b:
Here is a relaxed LaTb4Ho7 crystal from Alexandria. Energies are from PBE.

Structure (extended XYZ):
```
12
Lattice="-2.330 0.377 5.387 -11.392 -0.537 -1.679 -1.033 -5.839 3.172" Properties=species:S:1:pos:R:3 pbc="T T T"
Tb -10.191 -3.107 2.230
Tb -4.564 -2.893 4.650
Tb -10.379 -4.868 5.483
Tb -4.376 -1.132 1.397
Ho -6.812 -4.385 6.992
Ho -1.165 0.188 2.694
Ho -7.942 -1.615 -0.112
Ho -7.366 -1.401 3.333
Ho -1.896 -2.889 2.593
Ho -7.389 -4.599 3.547
Ho -12.859 -3.111 4.288
La 0.000 0.000 0.000
```

Values from the calculation:
The calculation puts the total moment at 0.00 μB/f.u.

Quick one: most stable of them? a

a:
Here is a relaxed La2TbHo crystal from Alexandria. Energies are from PBE.

Structure (extended XYZ):
```
4
Lattice="5.806 0.000 0.000 2.903 5.029 0.000 2.903 1.676 4.741" Properties=species:S:1:pos:R:3 pbc="T T T"
Tb 0.000 0.000 0.000
Ho 5.806 3.352 2.370
La 8.710 5.029 3.556
La 2.903 1.676 1.185
```

Values from the calculation:
The calculation puts the total moment at 0.00 μB/f.u.

b:
Here is a relaxed La2TbHo crystal from Alexandria. Energies are from PBE.

Structure (extended XYZ):
```
4
Lattice="-1.872 2.261 2.273 -4.819 -0.054 -3.916 -0.843 -4.695 3.976" Properties=species:S:1:pos:R:3 pbc="T T T"
La -0.422 -2.348 1.988
La -2.410 -0.027 -1.958
Tb -3.767 -1.244 1.166
Ho -0.936 1.130 1.136
```

Values from the calculation:
The calculation puts the total moment at 0.00 μB/f.u.

Quick one: most stable of them? b

a:
Here is a relaxed La2TbHo crystal from Alexandria. Energies are from PBE.

Structure (extended XYZ):
```
4
Lattice="-0.637 3.586 -0.362 -3.402 1.201 -0.619 -3.149 2.440 11.221" Properties=species:S:1:pos:R:3 pbc="T T T"
Tb -3.594 3.613 5.120
Ho 0.000 0.000 0.000
La -5.393 5.421 7.693
La -1.795 1.806 2.547
```

Values from the calculation:
The calculation puts the total moment at 0.00 μB/f.u.

b:
Here is a relaxed La2TbHo crystal from Alexandria. Energies are from PBE.

Structure (extended XYZ):
```
4
Lattice="-3.501 -0.463 -1.116 -0.417 -2.748 2.448 -3.057 6.580 6.863" Properties=species:S:1:pos:R:3 pbc="T T T"
La -2.297 4.944 5.157
La -0.760 1.636 1.707
Ho -1.959 -1.605 0.666
Tb -3.488 1.685 4.098
```

Values from the calculation:
The calculation puts the total moment at 0.00 μB/f.u.

Quick one: most stable of them? a

a:
Here is a relaxed La2Tb9Ho crystal from Alexandria. Energies are from PBE.

Structure (extended XYZ):
```
12
Lattice="3.487 0.000 0.000 0.000 11.383 0.000 0.000 -5.691 9.858" Properties=species:S:1:pos:R:3 pbc="T T T"
Tb 1.743 -2.777 8.175
Tb 1.743 0.000 3.365
Tb 1.743 2.914 1.682
Tb 1.743 2.777 8.175
Tb 1.743 8.469 1.682
Tb 0.000 2.846 4.929
Tb 1.743 5.691 6.493
Tb 0.000 -2.846 4.929
Tb 0.000 5.691 0.000
La 0.000 0.000 6.572
La 0.000 5.691 3.286
Ho 0.000 0.000 0.000
```

Values from the calculation:
The calculation puts the total moment at 0.00 μB/f.u.

b:
Here is a relaxed La2Tb9Ho crystal from Alexandria. Energies are from PBE.

Structure (extended XYZ):
```
12
Lattice="-1.023 -2.216 4.451 4.303 -2.671 -0.341 7.485 11.133 7.262" Properties=species:S:1:pos:R:3 pbc="T T T"
Tb 8.417 7.983 5.908
Tb 3.231 4.459 5.856
Tb 3.372 0.479 1.013
Tb 1.640 -2.443 2.055
Tb 6.647 5.004 6.913
Tb 5.894 4.231 3.461
Tb 0.709 0.707 3.409
Tb 4.118 1.242 4.459
Tb 5.754 8.211 8.304
La 4.992 7.424 4.843
La 2.493 3.709 2.419
Ho 0.000 0.000 0.000
```

Values from the calculation:
The calculation puts the total moment at 0.00 μB/f.u.

Quick one: most stable of them? b